Entry 1:
DFT (meta-GGA SCAN) results for a crystal of ZnAgAu2 relaxed with PBEsol.

a = 4.000 Å, b = 4.000 Å, c = 4.912 Å
α = 114.03°, β = 114.03°, γ = 90.00°
Positions (direct):
Zn (0.500, 0.500, 0.000)
Au (0.000, 0.000, 0.000)
Au (0.750, 0.250, 0.500)
Ag (0.250, 0.750, 0.500)

## Properties
* electronic total energy: -45.947 eV/atom
* size of the total moment: 0.00 Bohr magnetons per cell
* ΔE_f: -0.147 eV/atom

=====

Entry 2:
DFT (meta-GGA SCAN) results for a crystal of HgOs2 relaxed with PBEsol.

a = 2.759 Å, b = 4.451 Å, c = 4.451 Å
α = 120.00°, β = 90.00°, γ = 90.00°
Positions (direct):
Os (0.250, 0.667, 0.333)
Os (0.750, 0.333, 0.667)
Hg (0.000, 0.000, 0.000)

## Properties
* electronic total energy: -69.423 eV/atom
* size of the total moment: 0.00 Bohr magnetons per cell
* ΔE_f: 1.219 eV/atom

=====

Entry 3:
DFT (meta-GGA SCAN) results for a crystal of Nd6Nb5S16 relaxed with PBEsol.

a = 5.689 Å, b = 8.778 Å, c = 22.626 Å
α = 90.00°, β = 90.00°, γ = 108.91°
Positions (direct):
Nd (0.435, 0.000, 0.827)
Nd (0.129, 0.335, 0.173)
Nd (0.931, 0.000, 0.671)
Nd (0.794, 0.665, 0.173)
Nd (0.931, 0.000, 0.329)
Nd (0.794, 0.665, 0.827)
Nd (0.291, 0.668, 0.326)
Nd (0.435, 0.000, 0.173)
Nd (0.623, 0.332, 0.326)
Nd (0.291, 0.668, 0.674)
Nd (0.623, 0.332, 0.674)
Nd (0.129, 0.335, 0.827)
S (0.622, 0.333, 0.800)
S (0.289, 0.667, 0.800)
S (0.005, 0.595, 0.431)
S (0.005, 0.595, 0.569)
S (0.787, 0.667, 0.299)
S (0.787, 0.667, 0.701)
S (0.610, 0.800, 0.429)
S (0.697, 0.000, 0.932)
S (0.810, 0.200, 0.429)
S (0.494, 0.598, 0.931)
S (0.610, 0.800, 0.571)
S (0.097, 0.805, 0.929)
S (0.697, 0.000, 0.068)
S (0.097, 0.805, 0.071)
S (0.120, 0.333, 0.701)
S (0.120, 0.333, 0.299)
S (0.942, 0.000, 0.799)
S (0.410, 0.405, 0.431)
S (0.896, 0.402, 0.931)
S (0.810, 0.200, 0.571)
S (0.208, 0.000, 0.568)
S (0.440, 0.000, 0.701)
S (0.292, 0.195, 0.929)
S (0.494, 0.598, 0.069)
S (0.410, 0.405, 0.569)
S (0.440, 0.000, 0.299)
S (0.896, 0.402, 0.069)
S (0.208, 0.000, 0.432)
S (0.292, 0.195, 0.071)
S (0.622, 0.333, 0.200)
S (0.289, 0.667, 0.200)
S (0.942, 0.000, 0.201)
Nb (0.426, 0.799, 0.000)
Nb (0.230, 0.397, 0.000)
Nb (0.871, 0.000, 0.500)
Nb (0.476, 0.202, 0.500)
Nb (0.833, 0.603, 0.000)
Nb (0.274, 0.798, 0.500)
Nb (0.075, 0.398, 0.500)
Nb (0.627, 0.201, 0.000)
Nb (0.678, 0.602, 0.500)
Nb (0.027, 0.000, 0.000)

## Properties
* E_form (uncorrected): -1.93 eV per atom
* electronic total energy: -23.452 eV/atom
* size of the total moment: 0.00 Bohr magnetons per cell

=====

Entry 4:
DFT (meta-GGA SCAN) results for a crystal of La2Ni relaxed with PBEsol.

a = 6.912 Å, b = 6.912 Å, c = 6.912 Å
α = 90.00°, β = 90.00°, γ = 90.00°
Positions (direct):
Ni (0.500, 0.500, 0.000)
Ni (0.500, 0.000, 0.500)
Ni (0.000, 0.000, 0.000)
Ni (0.000, 0.500, 0.500)
La (0.172, 0.828, 0.328)
La (0.672, 0.828, 0.172)
La (0.328, 0.328, 0.328)
La (0.328, 0.172, 0.828)
La (0.172, 0.672, 0.828)
La (0.828, 0.172, 0.672)
La (0.828, 0.328, 0.172)
La (0.672, 0.672, 0.672)

## Properties
* electronic total energy: -34.314 eV/atom
* size of the total moment: 0.00 Bohr magnetons per cell
* ΔE_f: -0.186 eV/atom

=====

Q: Which formula does entry 2 have?
A: HgOs2